No. 1
VASP calculation (PBE-GGA) on an optimized crystal structure of Ce8PmPb6.

Cell lengths 8.5768, 8.5768, 8.5768 Å; angles 67.72, 67.72, 67.72 degrees
Last column: nearest neighbours and their distance in Å.
Fractional positions:
Ce: 0.0679 0.7447 0.4076  5 Pb 3.20-3.29
Ce: 0.1663 0.1663 0.1663  6 Pb 3.51-3.52, 6 Ce 3.65-3.66
Ce: 0.2553 0.5924 0.9321  5 Pb 3.20-3.29
Ce: 0.4076 0.0679 0.7447  5 Pb 3.20-3.29
Ce: 0.5924 0.9321 0.2553  5 Pb 3.20-3.29
Ce: 0.7447 0.4076 0.0679  5 Pb 3.20-3.29
Ce: 0.8337 0.8337 0.8337  6 Pb 3.51-3.52, 6 Ce 3.65-3.66
Ce: 0.9321 0.2553 0.5924  5 Pb 3.20-3.29
Pm: 0.5000 0.5000 0.5000  6 Pb 3.46, 6 Ce 3.72
Pb: 0.0980 0.4262 0.7560  7 Ce 3.20-3.52, 1 Pm 3.46
Pb: 0.2440 0.9020 0.5738  7 Ce 3.20-3.52, 1 Pm 3.46
Pb: 0.4262 0.7560 0.0980  7 Ce 3.20-3.52, 1 Pm 3.46
Pb: 0.5738 0.2440 0.9020  7 Ce 3.20-3.52, 1 Pm 3.46
Pb: 0.7560 0.0980 0.4262  7 Ce 3.20-3.52, 1 Pm 3.46
Pb: 0.9020 0.5738 0.2440  7 Ce 3.20-3.52, 1 Pm 3.46

Output
Total magnetic moment = 10.59 μB per cell
SG = R-3 (148)
Calculated total energy = -5.1798 eV/atom
ΔH_f (0 K) = -0.215 eV/atom
Calculated volume = 519.4 Å³/f.u.

***

No. 2
VASP calculation (PBE-GGA) on an optimized crystal structure of CePm5Pb3.

Cell lengths 9.7192, 9.7192, 6.7273 Å; angles 90.00, 90.00, 120.00 degrees
Last column: nearest neighbours and their distance in Å.
Fractional positions:
Ce: 0.0000 0.0000 0.0000  2 Ce 3.36, 6 Pm 3.60, 6 Pb 3.68
Ce: 0.0000 0.0000 0.5000  2 Ce 3.36, 6 Pm 3.60, 6 Pb 3.68
Pm: 0.0000 0.3281 0.2500  5 Pb 3.23-3.36, 2 Ce 3.60
Pm: 0.0000 0.6719 0.7500  5 Pb 3.23-3.36, 2 Ce 3.60
Pm: 0.3281 0.0000 0.2500  5 Pb 3.23-3.36, 2 Ce 3.60
Pm: 0.3281 0.3281 0.7500  5 Pb 3.23-3.36, 2 Ce 3.60
Pm: 0.3333 0.6667 0.0000  8 Pm 3.36-3.67, 6 Pb 3.63
Pm: 0.3333 0.6667 0.5000  8 Pm 3.36-3.67, 6 Pb 3.63
Pm: 0.6667 0.3333 0.0000  8 Pm 3.36-3.67, 6 Pb 3.63
Pm: 0.6667 0.3333 0.5000  8 Pm 3.36-3.67, 6 Pb 3.63
Pm: 0.6719 0.0000 0.7500  5 Pb 3.23-3.36, 2 Ce 3.60
Pm: 0.6719 0.6719 0.2500  5 Pb 3.23-3.36, 2 Ce 3.60
Pb: 0.0000 0.3372 0.7500  5 Pm 3.23-3.36
Pb: 0.0000 0.6628 0.2500  5 Pm 3.23-3.36
Pb: 0.3372 0.0000 0.7500  5 Pm 3.23-3.36
Pb: 0.3372 0.3372 0.2500  5 Pm 3.23-3.36
Pb: 0.6628 0.0000 0.2500  5 Pm 3.23-3.36
Pb: 0.6628 0.6628 0.7500  5 Pm 3.23-3.36

Output
Total magnetic moment = 6.95 μB per cell
SG = P6_3/mcm (193)
Calculated total energy = -4.9522 eV/atom
ΔH_f (0 K) = -0.418 eV/atom
Calculated volume = 275.2 Å³/f.u.

***

No. 3
VASP calculation (PBE-GGA) on an optimized crystal structure of CePm2Pb5.

Cell lengths 6.8064, 6.8064, 6.8064 Å; angles 106.39, 106.39, 115.82 degrees
Last column: nearest neighbours and their distance in Å.
Fractional positions:
Ce: 0.0000 0.0000 0.0000  10 Pb 3.40-3.62
Pm: 0.0000 0.5000 0.5000  8 Pb 3.40, 2 Pm 3.62
Pm: 0.5000 0.0000 0.5000  8 Pb 3.40, 2 Pm 3.62
Pb: 0.0000 0.0000 0.5000  4 Pb 3.40-3.62, 2 Ce 3.40, 4 Pm 3.40
Pb: 0.0000 0.5000 0.0000  4 Pb 3.40-3.62, 2 Ce 3.40, 4 Pm 3.40
Pb: 0.5000 0.0000 0.0000  2 Ce 3.40, 4 Pb 3.40-3.62, 4 Pm 3.40
Pb: 0.5000 0.5000 0.0000  8 Pb 3.40, 2 Ce 3.62
Pb: 0.5000 0.5000 0.5000  4 Pb 3.40-3.62, 2 Ce 3.40, 4 Pm 3.40

Output
Total magnetic moment = 1.13 μB per cell
SG = I4/mmm (139)
Calculated total energy = -4.6327 eV/atom
ΔH_f (0 K) = -0.386 eV/atom
Calculated volume = 240.5 Å³/f.u.

***

No. 4
VASP calculation (PBE-GGA) on an optimized crystal structure of CePm3Pb6.

Cell lengths 7.6126, 9.6102, 11.1938 Å; angles 90.00, 128.63, 90.00 degrees
Last column: nearest neighbours and their distance in Å.
Fractional positions:
Ce: 0.0000 0.0000 0.0000  4 Pb 3.20-3.33
Ce: 0.0000 0.5000 0.5000  4 Pb 3.20-3.33
Pm: 0.2128 0.1091 0.6779  9 Pb 3.27-3.64
Pm: 0.2128 0.3909 0.1779  9 Pb 3.27-3.64
Pm: 0.5000 0.0000 0.5000  6 Pb 3.19-3.50
Pm: 0.5000 0.5000 0.0000  6 Pb 3.19-3.50
Pm: 0.7872 0.6091 0.8221  9 Pb 3.27-3.64
Pm: 0.7872 0.8909 0.3221  9 Pb 3.27-3.64
Pb: 0.0012 0.1781 0.2887  4 Pb 3.22-3.51, 3 Pm 3.29-3.42
Pb: 0.0012 0.3219 0.7887  4 Pb 3.22-3.51, 3 Pm 3.29-3.42
Pb: 0.3055 0.7278 0.0975  4 Pb 3.17-3.51, 3 Pm 3.19-3.34, 1 Ce 3.20
Pb: 0.3055 0.7722 0.5975  4 Pb 3.17-3.51, 3 Pm 3.19-3.34, 1 Ce 3.20
Pb: 0.4408 0.1496 0.0552  5 Pb 3.17-3.49, 1 Ce 3.33, 3 Pm 3.44-3.50
Pb: 0.4408 0.3504 0.5552  5 Pb 3.17-3.49, 1 Ce 3.33, 3 Pm 3.44-3.50
Pb: 0.5592 0.6496 0.4448  5 Pb 3.17-3.49, 1 Ce 3.33, 3 Pm 3.44-3.50
Pb: 0.5592 0.8504 0.9448  5 Pb 3.17-3.49, 1 Ce 3.33, 3 Pm 3.44-3.50
Pb: 0.6945 0.2278 0.4025  4 Pb 3.17-3.51, 3 Pm 3.19-3.34, 1 Ce 3.20
Pb: 0.6945 0.2722 0.9025  4 Pb 3.17-3.51, 3 Pm 3.19-3.34, 1 Ce 3.20
Pb: 0.9988 0.6781 0.2113  4 Pb 3.22-3.51, 3 Pm 3.29-3.42
Pb: 0.9988 0.8219 0.7113  4 Pb 3.22-3.51, 3 Pm 3.29-3.42

Output
Total magnetic moment = 2.32 μB per cell
SG = P2_1/c (14)
Calculated total energy = -4.5236 eV/atom
ΔH_f (0 K) = -0.280 eV/atom
Calculated volume = 319.9 Å³/f.u.

***

No. 5
VASP calculation (PBE-GGA) on an optimized crystal structure of Ce4PmPb5.

Cell lengths 4.2144, 4.2144, 16.7396 Å; angles 90.00, 90.00, 90.00 degrees
Last column: nearest neighbours and their distance in Å.
Fractional positions:
Ce: 0.0000 0.0000 0.0980  2 Ce 3.28-3.30, 8 Pb 3.40-3.42
Ce: 0.0000 0.0000 0.2953  1 Ce 3.30, 8 Pb 3.39-3.45, 1 Pm 3.43
Ce: 0.0000 0.0000 0.7047  1 Ce 3.30, 8 Pb 3.39-3.45, 1 Pm 3.43
Ce: 0.0000 0.0000 0.9020  2 Ce 3.28-3.30, 8 Pb 3.40-3.42
Pm: 0.0000 0.0000 0.5000  8 Pb 3.42, 2 Ce 3.43
Pb: 0.5000 0.5000 0.0000  2 Pb 3.32, 8 Ce 3.40
Pb: 0.5000 0.5000 0.1983  2 Pb 3.32-3.36, 8 Ce 3.39-3.42
Pb: 0.5000 0.5000 0.3993  2 Pb 3.36-3.37, 4 Pm 3.42, 4 Ce 3.45
Pb: 0.5000 0.5000 0.6007  2 Pb 3.36-3.37, 4 Pm 3.42, 4 Ce 3.45
Pb: 0.5000 0.5000 0.8017  2 Pb 3.32-3.36, 8 Ce 3.39-3.42

Output
Total magnetic moment = 4.82 μB per cell
SG = P4/mmm (123)
Calculated total energy = -5.1152 eV/atom
ΔH_f (0 K) = -0.412 eV/atom
Calculated volume = 297.3 Å³/f.u.

***

No. 6
VASP calculation (PBE-GGA) on an optimized crystal structure of Ce4PmPb4.

Cell lengths 9.2776, 9.2776, 6.4258 Å; angles 90.00, 90.00, 90.00 degrees
Last column: nearest neighbours and their distance in Å.
Fractional positions:
Ce: 0.0830 0.8199 0.1124  1 Pm 3.28, 6 Pb 3.29-3.64, 1 Ce 3.36
Ce: 0.1801 0.5830 0.6124  1 Pm 3.28, 6 Pb 3.29-3.64, 1 Ce 3.36
Ce: 0.3199 0.9170 0.6124  1 Pm 3.28, 6 Pb 3.29-3.64, 1 Ce 3.36
Ce: 0.4170 0.6801 0.1124  1 Pm 3.28, 6 Pb 3.29-3.64, 1 Ce 3.36
Ce: 0.5830 0.3199 0.8876  1 Pm 3.28, 6 Pb 3.29-3.64, 1 Ce 3.36
Ce: 0.6801 0.0830 0.3876  1 Pm 3.28, 6 Pb 3.29-3.64, 1 Ce 3.36
Ce: 0.8199 0.4170 0.3876  1 Pm 3.28, 6 Pb 3.29-3.64, 1 Ce 3.36
Ce: 0.9170 0.1801 0.8876  1 Pm 3.28, 6 Pb 3.29-3.64, 1 Ce 3.36
Pm: 0.2500 0.2500 0.7500  4 Pb 3.25, 4 Ce 3.28
Pm: 0.7500 0.7500 0.2500  4 Pb 3.25, 4 Ce 3.28
Pb: 0.0426 0.1407 0.3748  3 Pb 3.17-3.47, 1 Pm 3.25, 5 Ce 3.29-3.51
Pb: 0.1407 0.4574 0.1252  3 Pb 3.17-3.47, 1 Pm 3.25, 5 Ce 3.29-3.51
Pb: 0.3593 0.0426 0.1252  3 Pb 3.17-3.47, 1 Pm 3.25, 5 Ce 3.29-3.51
Pb: 0.4574 0.3593 0.3748  3 Pb 3.17-3.47, 1 Pm 3.25, 5 Ce 3.29-3.51
Pb: 0.5426 0.6407 0.6252  3 Pb 3.17-3.47, 1 Pm 3.25, 5 Ce 3.29-3.51
Pb: 0.6407 0.9574 0.8748  3 Pb 3.17-3.47, 1 Pm 3.25, 5 Ce 3.29-3.51
Pb: 0.8593 0.5426 0.8748  3 Pb 3.17-3.47, 1 Pm 3.25, 5 Ce 3.29-3.51
Pb: 0.9574 0.8593 0.6252  3 Pb 3.17-3.47, 1 Pm 3.25, 5 Ce 3.29-3.51

Output
Total magnetic moment = 8.95 μB per cell
SG = P4_2/n (86)
Calculated total energy = -5.0190 eV/atom
ΔH_f (0 K) = -0.206 eV/atom
Calculated volume = 276.5 Å³/f.u.